This record from Alexandria describes an optimized crystal structure of Er3Si3Pd2. The functional is GGA-PBE.

## Properties
Offset from the most stable computed form   72.8 meV per atom
Total energy   -0.21799 hartree per atom
Spin magnetization   0.00 μB/f.u.
DOS(E_F)   0.42 states/eV per atom
Formation energy (no corrections)   -0.89 eV per atom

a b c (Å): 5.652 7.861 14.123
angles (deg): 90.00 90.00 90.00
Fractional coordinates of all 32 atoms:
Er (0.380, 0.688, 0.750)
Er (0.620, 0.312, 0.250)
Er (0.868, 0.539, 0.889)
Er (0.880, 0.812, 0.250)
Er (0.368, 0.961, 0.111)
Er (0.368, 0.961, 0.389)
Er (0.120, 0.188, 0.750)
Er (0.132, 0.461, 0.111)
Er (0.868, 0.539, 0.611)
Er (0.632, 0.039, 0.611)
Er (0.632, 0.039, 0.889)
Er (0.132, 0.461, 0.389)
Si (0.604, 0.300, 0.041)
Si (0.396, 0.700, 0.541)
Si (0.104, 0.200, 0.959)
Si (0.604, 0.300, 0.459)
Si (0.104, 0.200, 0.541)
Si (0.896, 0.800, 0.459)
Si (0.896, 0.800, 0.041)
Si (0.396, 0.700, 0.959)
Si (0.891, 0.826, 0.750)
Si (0.109, 0.174, 0.250)
Si (0.391, 0.674, 0.250)
Si (0.609, 0.326, 0.750)
Pd (0.876, 0.091, 0.398)
Pd (0.376, 0.409, 0.602)
Pd (0.624, 0.591, 0.398)
Pd (0.876, 0.091, 0.102)
Pd (0.624, 0.591, 0.102)
Pd (0.376, 0.409, 0.898)
Pd (0.124, 0.909, 0.602)
Pd (0.124, 0.909, 0.898)